Material: Tb3TmPt12
Method: DFT, PBE
State: relaxed

a = 4.127 Å, b = 4.127 Å, c = 16.432 Å
α = 90.00°, β = 90.00°, γ = 90.00°
Space group P4/mmm (No. 123)
Unique sites:
Tb1 0.000 0.000 0.000 (multiplicity 1)
Tb2 0.000 0.000 0.251 (multiplicity 2)
Tm1 0.000 0.000 0.500 (multiplicity 1)
Pt1 0.000 0.500 0.126 (multiplicity 4)
Pt2 0.000 0.500 0.377 (multiplicity 4)
Pt3 0.500 0.500 0.000 (multiplicity 1)
Pt4 0.500 0.500 0.251 (multiplicity 2)
Pt5 0.500 0.500 0.500 (multiplicity 1)

Calculated values
Energy in eV/atom: -6.712
Formation enthalpy at 0 K in eV per atom: -1.034